Record 1
VASP calculation (PBE) on a relaxed structure of LiHfTc3.

## Properties
For the density of states at the Fermi level, the calculation gives 4.278 states/eV per cell. The calculation puts the density at 7.17 g/cm3. As for the crystal system: cubic. For the total energy, the calculation gives -34.20 eV per cell. The calculation puts the formation energy from the elements at 1.753 eV per atom. The offset from the most stable computed form comes out at 91.9 kJ per mole of atoms.

Lattice parameters (Å, degrees): 4.8061 4.8061 4.8061 90.00 90.00 90.00
Last column: nearest neighbours and their distance in Å.
Space group Pm-3m (No. 221)
Inequivalent atoms, fractional coordinates:
Li 0.0000 0.0000 0.0000 (multiplicity 1)  12 Tc 3.40
Hf 0.5000 0.5000 0.5000 (multiplicity 1)  6 Tc 2.40
Tc 0.0000 0.5000 0.5000 (multiplicity 3)  2 Hf 2.40

***

Record 2
VASP calculation (PBE) on a relaxed structure of InPb2Cl.

## Properties
For the density of states at the Fermi level, the calculation gives 1.891 states/eV per cell. The calculation puts the density at 8.32 g/cm3. As for the crystal system: tetragonal. For the total energy, the calculation gives -13.10 eV per cell. The uncorrected formation energy is -0.2741 eV/atom. The offset from the most stable computed form comes out at 3.5 kJ per mole of atoms.

Lattice parameters (Å, degrees): 3.5981 3.5981 8.7100 90.00 90.00 90.00
Last column: nearest neighbours and their distance in Å.
Space group P4/mmm (No. 123)
Inequivalent atoms, fractional coordinates:
In 0.0000 0.0000 0.0000 (multiplicity 1)  8 Pb 3.36, 4 In 3.60
Pb 0.5000 0.5000 0.2518 (multiplicity 2)  4 Cl 3.34, 4 In 3.36, 4 Pb 3.60
Cl 0.0000 0.0000 0.5000 (multiplicity 1)  8 Pb 3.34, 4 Cl 3.60